Record 1
A relaxed Cs2Sn2I5 crystal, computed with PBE.

Geometry as CIF:
```
data_Cs2Sn2I5
_chemical_formula_sum 'Cs2 Sn2 I5'
_space_group_name_H-M_alt 'P 1'
_space_group_IT_number 1
_cell_length_a 6.591
_cell_length_b 9.503
_cell_length_c 8.930
_cell_angle_alpha 112.33
_cell_angle_beta 90.00
_cell_angle_gamma 110.29
loop_
_space_group_symop_operation_xyz
'x,y,z'
loop_
_atom_site_label
_atom_site_fract_x
_atom_site_fract_y
_atom_site_fract_z
Sn1 0.152 0.305 0.883
Cs1 0.602 0.204 0.295
Cs2 0.398 0.796 0.705
I1 0.000 0.000 0.000
I2 0.844 0.689 0.449
I3 0.647 0.294 0.885
I4 0.353 0.706 0.115
I5 0.156 0.311 0.551
Sn2 0.848 0.695 0.117
```

## Properties
Polymorph energy (0 for the lowest one), meV/atom: 68
N(E_F), states/eV/atom: 0.394
Calculated volume, Å³/cell: 480

---

Record 2
A relaxed CsSn2I7 crystal, computed with PBE.

Geometry as CIF:
```
data_CsSn2I7
_chemical_formula_sum 'Cs1 Sn2 I7'
_space_group_name_H-M_alt 'P 1'
_space_group_IT_number 1
_cell_length_a 5.595
_cell_length_b 9.882
_cell_length_c 9.882
_cell_angle_alpha 117.30
_cell_angle_beta 90.00
_cell_angle_gamma 90.00
loop_
_space_group_symop_operation_xyz
'x,y,z'
loop_
_atom_site_label
_atom_site_fract_x
_atom_site_fract_y
_atom_site_fract_z
Sn1 0.500 0.759 0.241
I1 0.500 0.500 0.500
Cs1 0.000 0.000 0.000
I2 0.500 0.667 0.921
I3 0.500 0.921 0.667
I4 0.500 0.333 0.079
Sn2 0.500 0.241 0.759
I5 0.000 0.303 0.697
I6 0.000 0.697 0.303
I7 0.500 0.079 0.333
```

## Properties
N(E_F), states/eV/atom: 0.483
Calculated volume, Å³/cell: 485

---

Record 3
A relaxed Cs4Sn3I10 crystal, computed with PBE.

Geometry as CIF:
```
data_Cs4Sn3I10
_chemical_formula_sum 'Cs4 Sn3 I10'
_space_group_name_H-M_alt 'P 1'
_space_group_IT_number 1
_cell_length_a 6.280
_cell_length_b 6.280
_cell_length_c 22.590
_cell_angle_alpha 97.99
_cell_angle_beta 97.99
_cell_angle_gamma 90.00
loop_
_space_group_symop_operation_xyz
'x,y,z'
loop_
_atom_site_label
_atom_site_fract_x
_atom_site_fract_y
_atom_site_fract_z
Sn1 0.144 0.144 0.288
I1 0.214 0.214 0.428
Cs1 0.433 0.433 0.866
Cs2 0.302 0.302 0.603
I2 0.786 0.786 0.572
Sn2 0.000 0.000 0.000
I3 0.071 0.071 0.142
Sn3 0.856 0.856 0.712
I4 0.929 0.929 0.858
Cs3 0.698 0.698 0.397
I5 0.500 0.000 0.000
I6 0.140 0.640 0.281
I7 0.360 0.860 0.719
I8 0.860 0.360 0.719
I9 0.000 0.500 0.000
Cs4 0.567 0.567 0.134
I10 0.640 0.140 0.281
```

## Properties
Calculated volume, Å³/cell: 874

---

Record 4
A relaxed CsSnI3 crystal, computed with PBE.

Geometry as CIF:
```
data_CsSnI3
_chemical_formula_sum 'Cs1 Sn1 I3'
_space_group_name_H-M_alt 'P 1'
_space_group_IT_number 1
_cell_length_a 6.895
_cell_length_b 6.895
_cell_length_c 6.895
_cell_angle_alpha 90.00
_cell_angle_beta 90.00
_cell_angle_gamma 90.00
loop_
_space_group_symop_operation_xyz
'x,y,z'
loop_
_atom_site_label
_atom_site_fract_x
_atom_site_fract_y
_atom_site_fract_z
I1 0.000 0.500 0.000
Sn1 0.500 0.500 0.500
Cs1 0.000 0.000 0.000
I2 0.500 0.000 0.000
I3 0.000 0.000 0.500
```

## Properties
N(E_F), states/eV/atom: 1.438
Calculated volume, Å³/cell: 328

---

Record 5
A relaxed Cs12Sn3I5 crystal, computed with PBE.

Geometry as CIF:
```
data_Cs12Sn3I5
_chemical_formula_sum 'Cs48 Sn12 I20'
_space_group_name_H-M_alt 'P 1'
_space_group_IT_number 1
_cell_length_a 19.753
_cell_length_b 19.753
_cell_length_c 19.753
_cell_angle_alpha 109.47
_cell_angle_beta 109.47
_cell_angle_gamma 109.47
loop_
_space_group_symop_operation_xyz
'x,y,z'
loop_
_atom_site_label
_atom_site_fract_x
_atom_site_fract_y
_atom_site_fract_z
I1 0.125 0.750 0.375
Cs1 0.085 0.916 0.361
Cs2 0.139 0.724 0.556
Cs3 0.056 0.639 0.724
Cs4 0.056 0.416 0.831
Cs5 0.276 0.861 0.944
I2 0.875 0.625 0.750
Sn1 0.125 0.250 0.875
Cs6 0.724 0.585 0.169
Sn2 0.875 0.750 0.125
Cs7 0.416 0.056 0.331
Cs8 0.585 0.861 0.416
Cs9 0.724 0.139 0.056
Cs10 0.944 0.361 0.276
Cs11 0.776 0.444 0.361
Cs12 0.444 0.669 0.084
Cs13 0.331 0.556 0.416
Cs14 0.556 0.224 0.139
Cs15 0.276 0.415 0.831
I3 0.500 0.000 0.000
Sn3 0.125 0.875 0.750
Sn4 0.250 0.625 0.875
I4 0.000 0.500 0.000
I5 0.750 0.125 0.875
Cs16 0.916 0.831 0.556
I6 0.500 0.500 0.500
Cs17 0.916 0.085 0.861
Cs18 0.669 0.224 0.585
Cs19 0.944 0.584 0.169
Cs20 0.361 0.416 0.085
Cs21 0.861 0.585 0.916
I7 0.250 0.875 0.125
I8 0.250 0.375 0.625
Sn5 0.250 0.125 0.375
Cs22 0.084 0.915 0.139
I9 0.625 0.875 0.250
Cs23 0.224 0.669 0.085
Cs24 0.639 0.056 0.224
Cs25 0.139 0.415 0.084
Sn6 0.750 0.875 0.625
I10 0.125 0.375 0.250
I11 0.375 0.125 0.750
Cs26 0.169 0.085 0.724
I12 0.375 0.250 0.125
Sn7 0.625 0.250 0.375
Cs27 0.169 0.084 0.944
Sn8 0.750 0.375 0.125
I13 0.750 0.625 0.375
Cs28 0.084 0.169 0.444
I14 0.875 0.250 0.625
Cs29 0.639 0.584 0.915
I15 0.000 0.500 0.500
Cs30 0.776 0.331 0.915
Cs31 0.444 0.776 0.861
Cs32 0.915 0.084 0.639
Cs33 0.415 0.139 0.584
Sn9 0.375 0.625 0.250
Cs34 0.556 0.331 0.916
Cs35 0.585 0.724 0.669
Cs36 0.584 0.639 0.415
Cs37 0.416 0.361 0.585
Cs38 0.831 0.916 0.056
Sn10 0.375 0.750 0.625
Cs39 0.831 0.915 0.276
I16 0.625 0.750 0.875
Cs40 0.085 0.169 0.224
Cs41 0.415 0.276 0.331
Cs42 0.861 0.276 0.444
I17 0.000 0.000 0.000
Cs43 0.584 0.944 0.669
Cs44 0.331 0.776 0.415
Cs45 0.224 0.556 0.639
I18 0.000 0.000 0.500
Cs46 0.361 0.944 0.776
Sn11 0.875 0.125 0.250
Cs47 0.915 0.831 0.776
I19 0.500 0.000 0.500
Sn12 0.625 0.375 0.750
Cs48 0.669 0.444 0.584
I20 0.500 0.500 0.000
```

## Properties
N(E_F), states/eV/atom: 0.558
Calculated volume, Å³/cell: 5933

---

Record 6
A relaxed Cs2SnI4 crystal, computed with PBE.

Geometry as CIF:
```
data_Cs2SnI4
_chemical_formula_sum 'Cs2 Sn1 I4'
_space_group_name_H-M_alt 'P 1'
_space_group_IT_number 1
_cell_length_a 6.249
_cell_length_b 6.249
_cell_length_c 10.694
_cell_angle_alpha 73.01
_cell_angle_beta 73.01
_cell_angle_gamma 90.00
loop_
_space_group_symop_operation_xyz
'x,y,z'
loop_
_atom_site_label
_atom_site_fract_x
_atom_site_fract_y
_atom_site_fract_z
Cs1 0.639 0.639 0.722
I1 0.500 0.000 0.000
I2 0.000 0.500 0.000
I3 0.836 0.836 0.327
Cs2 0.361 0.361 0.278
I4 0.164 0.164 0.673
Sn1 0.000 0.000 0.000
```

## Properties
Polymorph energy (0 for the lowest one), meV/atom: 0
Calculated volume, Å³/cell: 380

---

Record 7
A relaxed CsSn2I5 crystal, computed with PBE.

Geometry as CIF:
```
data_CsSn2I5
_chemical_formula_sum 'Cs2 Sn4 I10'
_space_group_name_H-M_alt 'P 1'
_space_group_IT_number 1
_cell_length_a 9.133
_cell_length_b 9.133
_cell_length_c 10.639
_cell_angle_alpha 115.42
_cell_angle_beta 115.42
_cell_angle_gamma 90.00
loop_
_space_group_symop_operation_xyz
'x,y,z'
loop_
_atom_site_label
_atom_site_fract_x
_atom_site_fract_y
_atom_site_fract_z
I1 0.472 0.283 0.254
I2 0.217 0.028 0.746
I3 0.528 0.717 0.746
I4 0.972 0.472 0.254
I5 0.283 0.783 0.254
Cs1 0.250 0.250 0.500
I6 0.500 0.500 0.000
Sn1 0.817 0.683 0.000
I7 0.028 0.528 0.746
Sn2 0.317 0.817 0.000
I8 0.783 0.972 0.254
I9 0.000 0.000 0.000
Sn3 0.683 0.183 0.000
I10 0.717 0.217 0.746
Sn4 0.183 0.317 0.000
Cs2 0.750 0.750 0.500
```

## Properties
Polymorph energy (0 for the lowest one), meV/atom: 20
Calculated volume, Å³/cell: 705

---

Record 8
A relaxed Cs2Sn3I8 crystal, computed with PBE.

Geometry as CIF:
```
data_Cs2Sn3I8
_chemical_formula_sum 'Cs2 Sn3 I8'
_space_group_name_H-M_alt 'P 1'
_space_group_IT_number 1
_cell_length_a 8.274
_cell_length_b 9.424
_cell_length_c 10.428
_cell_angle_alpha 116.86
_cell_angle_beta 105.36
_cell_angle_gamma 90.00
loop_
_space_group_symop_operation_xyz
'x,y,z'
loop_
_atom_site_label
_atom_site_fract_x
_atom_site_fract_y
_atom_site_fract_z
Cs1 0.675 0.739 0.477
I1 0.390 0.863 0.200
I2 0.891 0.103 0.206
Sn1 0.500 0.000 0.000
I3 0.610 0.137 0.800
I4 0.610 0.664 0.800
Cs2 0.325 0.261 0.523
Sn2 0.000 0.256 0.000
I5 0.109 0.897 0.794
I6 0.041 0.392 0.784
I7 0.959 0.608 0.216
Sn3 0.000 0.744 0.000
I8 0.390 0.336 0.200
```

## Properties
N(E_F), states/eV/atom: 0.000
Calculated volume, Å³/cell: 693

---

Number 1: raw formation energy -804 meV/atom. Number 2: raw formation energy -541 meV/atom. Number 3: raw formation energy -1013 meV/atom. Number 4: raw formation energy 89 meV/atom. Number 5: raw formation energy -699 meV/atom. Number 6: raw formation energy -1113 meV/atom. Number 7: raw formation energy -751 meV/atom. Number 8: raw formation energy -833 meV/atom.